Entry 1:
Crystalline KPF6 at its relaxed geometry. Source: the Alexandria database, functional PBEsol.

For the theoretical density, the calculation gives 2.78 g cm⁻³. The value obtained for the uncorrected formation energy is -2.83 eV per atom. For the size of the total moment, the calculation gives 0.000 μB/atom. Its raw total energy is -5.1407 eV/atom. For the density of states at the Fermi level, the calculation gives 0.0000 states/eV/atom.

Unit cell a=5.191 b=5.191 c=5.590 alpha=62.33 beta=62.33 gamma=60.00
Fractional positions:
P1 0.000 0.000 0.000
K1 0.500 0.500 0.500
F1 0.919 0.919 0.801
F2 0.362 0.919 0.801
F3 0.919 0.362 0.801
F4 0.081 0.638 0.199
F5 0.638 0.081 0.199
F6 0.081 0.081 0.199


Entry 2:
Crystalline ScCr2Ru2 at its relaxed geometry. Source: the Alexandria database, functional PBEsol.

For the theoretical density, the calculation gives 7.71 g cm⁻³. The formation energy is 79 meV/atom. For the size of the total moment, the calculation gives 0.000 μB/atom. Its raw total energy is -9.4079 eV/atom. For the density of states at the Fermi level, the calculation gives 0.9835 states/eV/atom.

Unit cell a=4.061 b=4.061 c=5.409 alpha=112.05 beta=112.05 gamma=90.00
Fractional positions:
Cr1 0.617 0.617 0.235
Cr2 0.383 0.383 0.765
Ru1 0.250 0.750 0.500
Ru2 0.750 0.250 0.500
Sc1 0.000 0.000 0.000


Entry 3:
Crystalline ZrSc2Al at its relaxed geometry. Source: the Alexandria database, functional PBEsol.

For the theoretical density, the calculation gives 4.11 g cm⁻³. The formation energy is -216 meV/atom. For the size of the total moment, the calculation gives 0.000 μB/atom. Its raw total energy is -6.8142 eV/atom. For the density of states at the Fermi level, the calculation gives 1.0475 states/eV/atom.

Unit cell a=3.146 b=3.146 c=8.492 alpha=90.00 beta=90.00 gamma=90.00
Fractional positions:
Sc1 0.000 0.000 0.974
Sc2 0.500 0.500 0.259
Al1 0.500 0.500 0.749
Zr1 0.000 0.000 0.519


Entry 4:
Crystalline Na2CuO2 at its relaxed geometry. Source: the Alexandria database, functional PBEsol.

For the theoretical density, the calculation gives 3.86 g cm⁻³. The value obtained for the uncorrected formation energy is -1.05 eV per atom. As for the polymorph energy (0 for the lowest one): 0 meV per atom. For the size of the total moment, the calculation gives 0.171 μB/atom. Its raw total energy is -4.5730 eV/atom. For the density of states at the Fermi level, the calculation gives 0.2532 states/eV/atom.

Unit cell a=2.912 b=5.315 c=8.180 alpha=90.00 beta=90.00 gamma=105.90
Last column: magnetic moment on the atom in μB.
Fractional positions:
Na1 0.852 0.704 0.332  0.00
Na2 0.605 0.210 0.152  0.00
Na3 0.148 0.296 0.832  0.00
Na4 0.395 0.790 0.652  0.00
Cu1 0.877 0.754 0.997  0.46
Cu2 0.123 0.246 0.497  0.46
O1 0.725 0.450 0.596  0.17
O2 0.482 0.965 0.909  0.17
O3 0.518 0.035 0.409  0.17
O4 0.275 0.550 0.096  0.17


Entry 5:
Crystalline Pt3PbN at its relaxed geometry. Source: the Alexandria database, functional PBEsol.

For the theoretical density, the calculation gives 10.41 g cm⁻³. The value obtained for the uncorrected formation energy is 2.56 eV per atom. For the size of the total moment, the calculation gives 0.504 μB/atom. Its raw total energy is -4.1215 eV/atom. For the density of states at the Fermi level, the calculation gives 0.5510 states/eV/atom.

Unit cell a=5.048 b=5.048 c=5.048 alpha=90.00 beta=90.00 gamma=90.00
Last column: magnetic moment on the atom in μB.
Fractional positions:
Pb1 0.000 0.000 0.000  -0.01
Pt1 0.000 0.500 0.000  0.01
Pt2 0.000 0.000 0.500  0.01
Pt3 0.500 0.000 0.000  0.01
N1 0.500 0.500 0.500  1.73


Entry 6:
Crystalline Bi2BPb at its relaxed geometry. Source: the Alexandria database, functional PBEsol.

For the theoretical density, the calculation gives 10.58 g cm⁻³. The formation energy is 1000 meV/atom. For the size of the total moment, the calculation gives 0.000 μB/atom. Its raw total energy is -3.8964 eV/atom. For the density of states at the Fermi level, the calculation gives 0.5585 states/eV/atom.

Unit cell a=5.207 b=5.207 c=5.207 alpha=60.00 beta=60.00 gamma=60.00
Fractional positions:
Pb1 0.500 0.500 0.500
B1 0.000 0.000 0.000
Bi1 0.250 0.250 0.250
Bi2 0.750 0.750 0.750


Entry 7:
Crystalline SbTe2As at its relaxed geometry. Source: the Alexandria database, functional PBEsol.

For the theoretical density, the calculation gives 6.74 g cm⁻³. The value obtained for the uncorrected formation energy is 0.06 eV per atom. As for the polymorph energy (0 for the lowest one): 0 meV per atom. For the size of the total moment, the calculation gives 0.000 μB/atom. Its raw total energy is -4.1159 eV/atom. For the density of states at the Fermi level, the calculation gives 0.4887 states/eV/atom.

Unit cell a=5.248 b=5.248 c=5.248 alpha=109.63 beta=109.63 gamma=109.15
Fractional positions:
Sb1 0.000 0.000 0.000
As1 0.500 0.500 0.000
Te1 0.500 0.000 0.500
Te2 0.000 0.500 0.500


Entry 8:
Crystalline Te2OsRh at its relaxed geometry. Source: the Alexandria database, functional PBEsol.

For the theoretical density, the calculation gives 12.25 g cm⁻³. The value obtained for the uncorrected formation energy is 0.81 eV per atom. As for the polymorph energy (0 for the lowest one): 367 meV per atom. For the size of the total moment, the calculation gives 0.000 μB/atom. Its raw total energy is -6.0367 eV/atom. For the density of states at the Fermi level, the calculation gives 0.9777 states/eV/atom.

Unit cell a=3.091 b=4.462 c=5.392 alpha=90.00 beta=91.18 gamma=90.00
Fractional positions:
Os1 0.500 0.500 0.000
Rh1 0.000 0.500 0.500
Te1 0.717 0.000 0.745
Te2 0.283 0.000 0.255


Entry 9:
Crystalline NdSbO4 at its relaxed geometry. Source: the Alexandria database, functional PBEsol.

For the theoretical density, the calculation gives 6.90 g cm⁻³. The value obtained for the uncorrected formation energy is -2.37 eV per atom. For the size of the total moment, the calculation gives 0.000 μB/atom. Its raw total energy is -7.4952 eV/atom. For the density of states at the Fermi level, the calculation gives 0.0000 states/eV/atom.

Unit cell a=5.497 b=7.658 c=7.658 alpha=99.85 beta=90.00 gamma=90.00
Fractional positions:
Nd1 0.727 0.102 0.852
Nd2 0.227 0.398 0.148
Nd3 0.273 0.898 0.148
Nd4 0.773 0.602 0.852
Sb1 0.230 0.303 0.663
Sb2 0.730 0.197 0.337
Sb3 0.770 0.697 0.337
Sb4 0.270 0.803 0.663
O1 0.020 0.328 0.881
O2 0.520 0.172 0.119
O3 0.980 0.672 0.119
O4 0.480 0.828 0.881
O5 0.365 0.057 0.668
O6 0.865 0.443 0.332
O7 0.635 0.943 0.332
O8 0.135 0.557 0.668
O9 0.004 0.872 0.831
O10 0.504 0.628 0.169
O11 0.996 0.128 0.169
O12 0.496 0.372 0.831
O13 0.092 0.801 0.436
O14 0.592 0.699 0.564
O15 0.908 0.199 0.564
O16 0.408 0.301 0.436


Entry 10:
Crystalline TmNi5 at its relaxed geometry. Source: the Alexandria database, functional PBEsol.

For the theoretical density, the calculation gives 10.04 g cm⁻³. The formation energy is -343 meV/atom. For the size of the total moment, the calculation gives 0.211 μB/atom. Its raw total energy is -6.2911 eV/atom. For the density of states at the Fermi level, the calculation gives 1.1636 states/eV/atom.

Unit cell a=3.900 b=4.760 c=4.760 alpha=120.00 beta=90.00 gamma=90.00
Last column: magnetic moment on the atom in μB.
Fractional positions:
Tm1 0.000 0.000 0.000  -0.08
Ni1 0.000 0.333 0.667  0.23
Ni2 0.000 0.667 0.333  0.23
Ni3 0.500 0.000 0.500  0.32
Ni4 0.500 0.500 0.500  0.32
Ni5 0.500 0.500 0.000  0.32


Entry 11:
Crystalline P2WICl at its relaxed geometry. Source: the Alexandria database, functional PBEsol.

For the theoretical density, the calculation gives 6.37 g cm⁻³. The value obtained for the uncorrected formation energy is 0.26 eV per atom. For the size of the total moment, the calculation gives 0.000 μB/atom. Its raw total energy is -5.5683 eV/atom. For the density of states at the Fermi level, the calculation gives 0.4187 states/eV/atom.

Unit cell a=4.737 b=4.737 c=4.741 alpha=90.00 beta=90.00 gamma=90.00
Fractional positions:
I1 0.500 0.500 0.500
P1 0.000 0.500 0.000
P2 0.500 0.000 0.000
W1 0.000 0.000 0.000
Cl1 0.000 0.000 0.500


Entry 12:
Crystalline YTa2Cd at its relaxed geometry. Source: the Alexandria database, functional PBEsol.

For the theoretical density, the calculation gives 11.48 g cm⁻³. The formation energy is 332 meV/atom. For the size of the total moment, the calculation gives 0.000 μB/atom. Its raw total energy is -7.9486 eV/atom. For the density of states at the Fermi level, the calculation gives 0.7823 states/eV/atom.

Unit cell a=4.165 b=4.165 c=5.544 alpha=112.06 beta=112.06 gamma=90.00
Fractional positions:
Cd1 0.000 0.000 0.000
Ta1 0.750 0.250 0.500
Ta2 0.250 0.750 0.500
Y1 0.500 0.500 0.000